Material: KLiEr2Mo4O16
Method: DFT, PBE with a Hubbard U
State: relaxed

Lattice parameters (Å, degrees): 5.2457 12.6929 19.8095 90.00 94.28 90.00
Space group C2/c (No. 15)
Inequivalent atoms, fractional coordinates:
1 K 0.0000 0.0315 0.2500 [4 per cell]
2 Li 0.0000 0.3130 0.2500 [4 per cell]
3 Er 0.0018 0.1467 0.4691 [8 per cell]
4 Mo 0.0164 0.2553 0.6447 [8 per cell]
5 Mo 0.0225 0.4378 0.0911 [8 per cell]
6 O 0.0989 0.4091 0.3301 [8 per cell]
7 O 0.1210 0.1344 0.8318 [8 per cell]
8 O 0.1673 0.3325 0.0398 [8 per cell]
9 O 0.1887 0.2377 0.5656 [8 per cell]
10 O 0.2275 0.4495 0.5991 [8 per cell]
11 O 0.2309 0.2950 0.7128 [8 per cell]
12 O 0.2354 0.0201 0.5377 [8 per cell]
13 O 0.2494 0.3453 0.8716 [8 per cell]

crystal system = monoclinic
uncorrected energy = -0.5256 Ry per atom